a.
The following is a DFT calculation (PBE-GGA) of a relaxed structure of HfWC3.

As for the space-group type: Pm-3m (221).

Geometry as extended XYZ:
```
5
Lattice="4.010 0.000 0.000 0.000 4.010 0.000 0.000 0.000 4.010" Properties=species:S:1:pos:R:3 pbc="T T T"
Hf 0.000 0.000 0.000
W 2.005 2.005 2.005
C 0.000 2.005 2.005
C 2.005 0.000 2.005
C 2.005 2.005 0.000
```

b.
The following is a DFT calculation (PBE-GGA) of a relaxed structure of HfWC3.

As for the space-group type: Pm-3m (221).

Geometry as extended XYZ:
```
5
Lattice="4.085 0.000 0.000 0.000 4.085 0.000 0.000 0.000 4.085" Properties=species:S:1:pos:R:3 pbc="T T T"
Hf 0.000 0.000 0.000
W 2.042 2.042 2.042
C 0.000 0.000 2.042
C 0.000 2.042 0.000
C 2.042 0.000 0.000
```

Computed relative energies in units of meV/atom: a 0; b 1340

a.
The following is a DFT calculation (PBE-GGA) of a relaxed structure of Y2Hf2C.

As for the space-group type: I4/mmm (139).

Geometry as extended XYZ:
```
10
Lattice="3.623 0.000 0.000 0.000 3.623 0.000 0.000 0.000 18.248" Properties=species:S:1:pos:R:3 pbc="T T T"
Y 0.000 0.000 1.409
Y 0.000 0.000 16.839
Y 1.812 1.812 7.715
Y 1.812 1.812 10.533
Hf 0.000 1.812 4.562
Hf 0.000 1.812 13.686
Hf 1.812 0.000 4.562
Hf 1.812 0.000 13.686
C 0.000 0.000 9.124
C 1.812 1.812 0.000
```

b.
The following is a DFT calculation (PBE-GGA) of a relaxed structure of Y2Hf2C.

As for the space-group type: P4/mbm (127).

Geometry as extended XYZ:
```
10
Lattice="6.562 0.000 0.000 0.000 6.562 0.000 0.000 0.000 5.541" Properties=species:S:1:pos:R:3 pbc="T T T"
Y 1.145 2.136 0.000
Y 2.136 5.417 0.000
Y 4.426 1.145 0.000
Y 5.417 4.426 0.000
Hf 0.971 4.252 2.770
Hf 2.310 0.971 2.770
Hf 4.252 5.590 2.770
Hf 5.590 2.310 2.770
C 0.000 0.000 0.000
C 3.281 3.281 0.000
```

Computed relative energies in units of meV/atom: a 311; b 0

a.
The following is a DFT calculation (PBE-GGA) of a relaxed structure of Y3HfC.

As for the space-group type: Pm-3m (221).

Geometry as extended XYZ:
```
5
Lattice="4.981 0.000 0.000 0.000 4.981 0.000 0.000 0.000 4.981" Properties=species:S:1:pos:R:3 pbc="T T T"
Y 0.000 0.000 2.491
Y 0.000 2.491 0.000
Y 2.491 0.000 0.000
Hf 2.491 2.491 2.491
C 0.000 0.000 0.000
```

b.
The following is a DFT calculation (PBE-GGA) of a relaxed structure of Y3HfC.

As for the space-group type: Pm-3m (221).

Geometry as extended XYZ:
```
5
Lattice="5.496 0.000 0.000 0.000 5.496 0.000 0.000 0.000 5.496" Properties=species:S:1:pos:R:3 pbc="T T T"
Y 0.000 0.000 2.748
Y 0.000 2.748 0.000
Y 2.748 0.000 0.000
Hf 0.000 0.000 0.000
C 2.748 2.748 2.748
```

Computed relative energies in units of meV/atom: a 0; b 1840

a.
The following is a DFT calculation (PBE-GGA) of a relaxed structure of Hf2ZnC2.

As for the space-group type: I4/mmm (139).

Geometry as extended XYZ:
```
10
Lattice="4.208 0.000 0.000 0.000 4.208 0.000 0.000 0.000 9.273" Properties=species:S:1:pos:R:3 pbc="T T T"
Hf 0.000 0.000 1.719
Hf 0.000 0.000 7.554
Hf 2.104 2.104 2.918
Hf 2.104 2.104 6.356
Zn 0.000 0.000 4.637
Zn 2.104 2.104 0.000
C 0.000 2.104 2.318
C 0.000 2.104 6.955
C 2.104 0.000 2.318
C 2.104 0.000 6.955
```

b.
The following is a DFT calculation (PBE-GGA) of a relaxed structure of Hf2ZnC2.

As for the space-group type: P4/mbm (127).

Geometry as extended XYZ:
```
10
Lattice="6.684 0.000 0.000 0.000 6.684 0.000 0.000 0.000 3.024" Properties=species:S:1:pos:R:3 pbc="T T T"
Hf 1.013 2.329 0.000
Hf 2.329 5.671 0.000
Hf 4.355 1.013 0.000
Hf 5.671 4.355 0.000
Zn 0.000 0.000 0.000
Zn 3.342 3.342 0.000
C 1.067 4.409 1.512
C 2.275 1.067 1.512
C 4.409 5.616 1.512
C 5.616 2.275 1.512
```

Computed relative energies in units of meV/atom: a 0; b 290

a.
The following is a DFT calculation (PBE-GGA) of a relaxed structure of HfZr2C3.

As for the space-group type: Cmc2_1 (36).

Geometry as extended XYZ:
```
12
Lattice="5.829 -3.365 0.000 5.829 3.365 0.000 0.000 0.000 4.698" Properties=species:S:1:pos:R:3 pbc="T T T"
Hf 5.829 2.251 2.349
Hf 5.829 -2.251 0.000
Zr 3.892 1.125 0.001
Zr 7.766 1.125 0.001
Zr 3.892 -1.125 2.350
Zr 7.766 -1.125 2.350
C 5.829 2.264 0.039
C 3.904 1.132 2.383
C 7.753 1.132 2.383
C 3.904 -1.132 0.034
C 7.753 -1.132 0.034
C 5.829 -2.264 2.388
```

b.
The following is a DFT calculation (PBE-GGA) of a relaxed structure of HfZr2C3.

As for the space-group type: C2/m (12).

Geometry as extended XYZ:
```
12
Lattice="2.877 -4.985 0.000 2.877 4.985 0.000 -1.914 0.000 5.426" Properties=species:S:1:pos:R:3 pbc="T T T"
Hf 2.877 3.322 0.000
Hf 2.877 -3.322 0.000
Zr -0.957 0.000 2.713
Zr 1.920 1.660 2.713
Zr 2.877 0.000 0.000
Zr 1.920 -1.660 2.713
C -0.004 1.673 4.086
C 0.946 0.000 1.340
C -0.004 -1.673 4.086
C 3.844 1.673 1.340
C 2.894 0.000 4.086
C 3.844 -1.673 1.340
```

Computed relative energies in units of meV/atom: a 262; b 0

a.
The following is a DFT calculation (PBE-GGA) of a relaxed structure of HfZr2C2.

As for the space-group type: C2/c (15).

Geometry as extended XYZ:
```
10
Lattice="2.871 -5.001 0.000 2.871 5.001 0.000 -1.840 0.000 5.431" Properties=species:S:1:pos:R:3 pbc="T T T"
Hf 1.491 4.307 4.073
Hf 2.411 -4.307 1.358
Zr 2.411 2.491 1.358
Zr 1.491 0.727 4.073
Zr 2.411 -0.727 1.358
Zr 1.491 -2.491 4.073
C 1.411 0.817 0.003
C 0.491 -0.817 2.719
C 3.411 0.817 2.713
C 2.491 -0.817 5.428
```

b.
The following is a DFT calculation (PBE-GGA) of a relaxed structure of HfZr2C2.

As for the space-group type: Immm (71).

Geometry as extended XYZ:
```
10
Lattice="3.326 0.000 0.000 0.000 4.715 0.000 0.000 0.000 9.912" Properties=species:S:1:pos:R:3 pbc="T T T"
Hf 0.000 0.000 0.000
Hf 1.663 2.358 4.956
Zr 0.000 0.000 3.194
Zr 0.000 0.000 6.718
Zr 1.663 2.358 1.762
Zr 1.663 2.358 8.150
C 0.000 2.358 3.325
C 0.000 2.358 6.587
C 1.663 0.000 1.631
C 1.663 0.000 8.281
```

Computed relative energies in units of meV/atom: a 0; b 12

a.
The following is a DFT calculation (PBE-GGA) of a relaxed structure of Hg3C.

As for the space-group type: P-4m2 (115).

Geometry as extended XYZ:
```
4
Lattice="4.167 0.000 0.000 0.000 4.167 0.000 0.000 0.000 6.354" Properties=species:S:1:pos:R:3 pbc="T T T"
Hg 0.000 0.000 0.000
Hg 0.000 2.084 3.836
Hg 2.084 0.000 2.518
C 2.084 2.084 3.177
```

b.
The following is a DFT calculation (PBE-GGA) of a relaxed structure of Hg3C.

As for the space-group type: Cmmm (65).

Geometry as extended XYZ:
```
8
Lattice="4.156 0.000 0.000 0.000 11.147 0.000 0.000 0.000 3.991" Properties=species:S:1:pos:R:3 pbc="T T T"
Hg 0.000 0.000 0.000
Hg 0.000 3.824 1.996
Hg 0.000 7.323 1.996
Hg 2.078 1.749 1.996
Hg 2.078 5.574 0.000
Hg 2.078 9.398 1.996
C 0.000 5.574 0.000
C 2.078 0.000 0.000
```

Computed relative energies in units of meV/atom: a 0; b 144

a.
The following is a DFT calculation (PBE-GGA) of a relaxed structure of Hg3C.

As for the space-group type: R-3m (166).

Geometry as extended XYZ:
```
12
Lattice="7.974 0.000 0.000 -3.987 6.906 0.000 0.000 0.000 4.839" Properties=species:S:1:pos:R:3 pbc="T T T"
Hg -1.994 3.453 0.000
Hg 0.000 2.302 1.613
Hg -1.994 5.755 1.613
Hg 1.994 1.151 3.226
Hg 3.987 0.000 0.000
Hg 1.994 3.453 0.000
Hg 1.994 5.755 1.613
Hg 5.981 1.151 3.226
Hg 3.987 4.604 3.226
C 0.000 0.000 0.000
C 0.000 4.604 3.226
C 3.987 2.302 1.613
```

b.
The following is a DFT calculation (PBE-GGA) of a relaxed structure of Hg3C.

As for the space-group type: Imm2 (44).

Geometry as extended XYZ:
```
8
Lattice="3.227 0.000 0.000 0.000 9.118 0.000 0.000 0.000 5.570" Properties=species:S:1:pos:R:3 pbc="T T T"
Hg 0.000 0.000 0.000
Hg 0.000 1.638 2.985
Hg 0.000 7.480 2.985
Hg 1.613 2.921 0.200
Hg 1.613 4.559 2.785
Hg 1.613 6.197 0.200
C 0.000 4.559 4.606
C 1.613 0.000 1.821
```

c.
The following is a DFT calculation (PBE-GGA) of a relaxed structure of Hg3C.

As for the space-group type: Pmmn (59).

Geometry as extended XYZ:
```
8
Lattice="4.044 0.000 0.000 0.000 6.660 0.000 0.000 0.000 6.899" Properties=species:S:1:pos:R:3 pbc="T T T"
Hg 1.011 0.259 1.161
Hg 1.011 1.665 3.896
Hg 1.011 3.071 1.161
Hg 3.033 3.589 5.738
Hg 3.033 4.995 3.003
Hg 3.033 6.401 5.738
C 1.011 4.995 0.051
C 3.033 1.665 6.848
```

d.
The following is a DFT calculation (PBE-GGA) of a relaxed structure of Hg3C.

As for the space-group type: P4/mmm (123).

Geometry as extended XYZ:
```
4
Lattice="3.093 0.000 0.000 0.000 3.093 0.000 0.000 0.000 8.409" Properties=species:S:1:pos:R:3 pbc="T T T"
Hg 0.000 0.000 0.000
Hg 1.547 1.547 2.653
Hg 1.547 1.547 5.756
C 0.000 0.000 4.204
```

Computed relative energies in units of meV/atom: a 236; b 81; c 0; d 148

a.
The following is a DFT calculation (PBE-GGA) of a relaxed structure of Hg3C.

As for the space-group type: I4/mmm (139).

Geometry as extended XYZ:
```
8
Lattice="4.323 0.000 0.000 0.000 4.323 0.000 0.000 0.000 8.474" Properties=species:S:1:pos:R:3 pbc="T T T"
Hg 0.000 0.000 0.000
Hg 0.000 2.161 2.119
Hg 0.000 2.161 6.356
Hg 2.161 0.000 2.119
Hg 2.161 0.000 6.356
Hg 2.161 2.161 4.237
C 0.000 0.000 4.237
C 2.161 2.161 0.000
```

b.
The following is a DFT calculation (PBE-GGA) of a relaxed structure of Hg3C.

As for the space-group type: Cmmm (65).

Geometry as extended XYZ:
```
8
Lattice="3.548 0.000 0.000 0.000 6.377 0.000 0.000 0.000 7.998" Properties=species:S:1:pos:R:3 pbc="T T T"
Hg 0.000 0.000 0.000
Hg 0.000 3.189 2.428
Hg 0.000 3.189 5.570
Hg 1.774 0.000 2.428
Hg 1.774 0.000 5.570
Hg 1.774 3.189 0.000
C 0.000 0.000 3.999
C 1.774 3.189 3.999
```

Computed relative energies in units of meV/atom: a 206; b 0

a.
The following is a DFT calculation (PBE-GGA) of a relaxed structure of Hg3C.

As for the space-group type: Immm (71).

Geometry as extended XYZ:
```
8
Lattice="3.151 0.000 0.000 0.000 3.846 0.000 0.000 0.000 13.531" Properties=species:S:1:pos:R:3 pbc="T T T"
Hg 0.000 0.000 0.000
Hg 0.000 1.923 2.437
Hg 0.000 1.923 11.095
Hg 1.575 0.000 4.329
Hg 1.575 0.000 9.203
Hg 1.575 1.923 6.766
C 0.000 0.000 6.766
C 1.575 1.923 0.000
```

b.
The following is a DFT calculation (PBE-GGA) of a relaxed structure of Hg3C.

As for the space-group type: P6_3/mmc (194).

Geometry as extended XYZ:
```
16
Lattice="7.955 0.000 0.000 -3.977 6.889 0.000 0.000 0.000 6.252" Properties=species:S:1:pos:R:3 pbc="T T T"
Hg -1.989 3.445 0.000
Hg -1.989 3.445 3.126
Hg 0.000 1.873 1.563
Hg -2.356 5.953 1.563
Hg 1.622 0.936 4.689
Hg 3.977 0.000 0.000
Hg 3.977 0.000 3.126
Hg 1.989 3.445 0.000
Hg 1.989 3.445 3.126
Hg 2.356 5.953 1.563
Hg 6.333 0.936 4.689
Hg 3.977 5.017 4.689
C 0.000 0.000 0.000
C 0.000 0.000 3.126
C 0.000 4.593 4.689
C 3.978 2.296 1.563
```

Computed relative energies in units of meV/atom: a 0; b 32

a.
The following is a DFT calculation (PBE-GGA) of a relaxed structure of Hg3C.

As for the space-group type: P6_3/mmc (194).

Geometry as extended XYZ:
```
8
Lattice="5.711 0.000 0.000 -2.856 4.946 0.000 0.000 0.000 6.085" Properties=species:S:1:pos:R:3 pbc="T T T"
Hg 0.000 1.660 1.521
Hg -1.418 4.116 1.521
Hg 1.437 0.830 4.564
Hg 1.418 4.116 1.521
Hg 4.274 0.830 4.564
Hg 2.856 3.286 4.564
C 0.000 3.297 4.564
C 2.856 1.649 1.521
```

b.
The following is a DFT calculation (PBE-GGA) of a relaxed structure of Hg3C.

As for the space-group type: C2/m (12).

Geometry as extended XYZ:
```
8
Lattice="6.384 0.000 0.000 0.000 3.657 0.000 -2.117 0.000 7.150" Properties=species:S:1:pos:R:3 pbc="T T T"
Hg 0.000 0.000 0.000
Hg 0.007 0.000 4.846
Hg 1.068 1.829 2.304
Hg 3.192 1.829 0.000
Hg 3.199 1.829 4.846
Hg 4.260 0.000 2.304
C -1.058 1.829 3.575
C 2.134 0.000 3.575
```

Computed relative energies in units of meV/atom: a 307; b 0

a.
The following is a DFT calculation (PBE-GGA) of a relaxed structure of Hg3C.

As for the space-group type: Pm-3n (223).

Geometry as extended XYZ:
```
8
Lattice="5.491 0.000 0.000 0.000 5.491 0.000 0.000 0.000 5.491" Properties=species:S:1:pos:R:3 pbc="T T T"
Hg 0.000 1.373 2.745
Hg 0.000 4.118 2.745
Hg 1.373 2.745 0.000
Hg 2.745 0.000 1.373
Hg 2.745 0.000 4.118
Hg 4.118 2.745 0.000
C 0.000 0.000 0.000
C 2.745 2.745 2.745
```

b.
The following is a DFT calculation (PBE-GGA) of a relaxed structure of Hg3C.

As for the space-group type: Cmcm (63).

Geometry as extended XYZ:
```
16
Lattice="8.591 0.000 0.000 0.000 18.379 0.000 0.000 0.000 2.712" Properties=species:S:1:pos:R:3 pbc="T T T"
Hg 0.000 1.504 0.678
Hg 0.000 16.875 2.034
Hg 1.607 6.161 0.678
Hg 1.607 12.218 2.034
Hg 2.688 3.029 2.034
Hg 2.688 15.351 0.678
Hg 4.295 7.685 2.034
Hg 4.295 10.694 0.678
Hg 5.903 3.029 2.034
Hg 5.903 15.351 0.678
Hg 6.983 6.161 0.678
Hg 6.983 12.218 2.034
C 0.000 9.179 0.678
C 0.000 9.200 2.034
C 4.295 0.010 2.034
C 4.295 18.369 0.678
```

Computed relative energies in units of meV/atom: a 1134; b 0